# NiSe | the Alexandria database | PBE | relaxed
data_NiSe
_space_group_name_H-M_alt 'P 63/m'
_space_group_IT_number 176
_space_group_name_Hall '-P 6c'
_cell_length_a 8.9291
_cell_length_b 8.9291
_cell_length_c 3.7968
_cell_angle_alpha 90.00
_cell_angle_beta 90.00
_cell_angle_gamma 120.00
loop_
_atom_site_label
_atom_site_type_symbol
_atom_site_fract_x
_atom_site_fract_y
_atom_site_fract_z
_atom_site_occupancy
Ni1 Ni 0.0416 0.4264 0.2500 1
Se1 Se 0.1166 0.7138 0.2500 1
# ΔE_f (raw), eV per atom: -0.2668